Record 1
BaAcCuAu: optimized geometry, GGA-PBE.

Summary:
- DFT formation energy (eV/atom) = -0.315
- N(E_F) (states/eV per atom) = 1.1206

a b c (Å): 5.550 5.550 5.550
angles (deg): 60.00 60.00 60.00
Element x y z (fractional)
Ba 0.000 0.000 0.000
Cu 0.750 0.750 0.750
Au 0.250 0.250 0.250
Ac 0.500 0.500 0.500

Record 2
BaAcGeAu: optimized geometry, GGA-PBE.

Summary:
- DFT formation energy (eV/atom) = -0.647
- N(E_F) (states/eV per atom) = 0.1316

a b c (Å): 5.617 5.617 5.617
angles (deg): 60.00 60.00 60.00
Element x y z (fractional)
Au 0.000 0.000 0.000
Ba 0.250 0.250 0.250
Ge 0.500 0.500 0.500
Ac 0.750 0.750 0.750

Record 3
Ba2AcGe3Au12: optimized geometry, GGA-PBE.

Summary:
- DFT formation energy (eV/atom) = -0.179
- N(E_F) (states/eV per atom) = 0.2822

a b c (Å): 8.775 8.775 8.775
angles (deg): 62.85 62.85 62.85
Element x y z (fractional)
Au 0.145 0.680 0.680
Au 0.859 0.414 0.859
Au 0.586 0.141 0.141
Au 0.141 0.141 0.586
Ge 0.000 0.000 0.500
Au 0.680 0.145 0.680
Au 0.680 0.680 0.145
Au 0.414 0.859 0.859
Au 0.320 0.855 0.320
Au 0.855 0.320 0.320
Ba 0.400 0.400 0.400
Au 0.320 0.320 0.855
Ac 0.000 0.000 0.000
Ba 0.600 0.600 0.600
Au 0.141 0.586 0.141
Ge 0.500 0.000 0.000
Ge 0.000 0.500 0.000
Au 0.859 0.859 0.414

Record 4
Ba2Ac5Ir2Au2: optimized geometry, GGA-PBE.

Summary:
- DFT formation energy (eV/atom) = -0.456
- N(E_F) (states/eV per atom) = 0.5943

a b c (Å): 5.841 5.841 14.725
angles (deg): 101.44 101.44 90.00
Element x y z (fractional)
Au 0.664 0.664 0.327
Ac 0.614 0.114 0.227
Ac 0.000 0.000 0.000
Ac 0.886 0.386 0.773
Ba 0.220 0.220 0.440
Ba 0.780 0.780 0.560
Ir 0.099 0.099 0.199
Ir 0.901 0.901 0.801
Ac 0.386 0.886 0.773
Ac 0.114 0.614 0.227
Au 0.336 0.336 0.673

Record 5
BaAcIrAu: optimized geometry, GGA-PBE.

Summary:
- DFT formation energy (eV/atom) = -0.436
- N(E_F) (states/eV per atom) = 0.2449

a b c (Å): 5.416 5.416 5.416
angles (deg): 60.00 60.00 60.00
Element x y z (fractional)
Ir 0.500 0.500 0.500
Ac 0.750 0.750 0.750
Au 0.000 0.000 0.000
Ba 0.250 0.250 0.250

Record 6
BaLiAcAu2: optimized geometry, GGA-PBE.

Summary:
- DFT formation energy (eV/atom) = -0.539
- N(E_F) (states/eV per atom) = 0.3786

a b c (Å): 4.654 4.654 8.953
angles (deg): 90.00 90.00 120.00
Element x y z (fractional)
Ac 0.667 0.333 0.390
Au 0.333 0.667 0.214
Ba 0.000 0.000 0.977
Li 0.333 0.667 0.680
Au 0.667 0.333 0.739